Si2H6Se (SCAN, PBEsol geometry); magnetization = 0.0 μB/f.u.; electronic total energy = -6.84 eV/atom; ρ = 2.17 g/cm3
1.0
7.739 0.000 0.000
0.000 7.739 0.000
0.000 0.000 14.436
Si H Se
16 48 8
Cartesian
0.667 2.010 2.035
1.182 2.134 9.471
1.736 5.052 5.862
1.860 4.536 12.862
2.010 0.667 12.401
2.134 1.182 4.965
2.687 6.003 1.356
3.202 5.879 8.792
4.536 1.860 1.574
5.052 1.736 8.574
5.605 6.557 12.183
5.729 7.072 5.183
5.879 3.202 5.644
6.003 2.687 13.080
6.557 5.605 2.253
7.072 5.729 9.253
0.123 3.114 9.881
0.570 5.881 10.079
0.578 3.025 0.944
0.654 0.732 9.546
0.692 1.209 12.864
0.732 0.654 4.890
0.756 3.992 6.272
0.845 4.448 11.771
1.209 0.692 1.572
1.399 5.673 4.546
1.803 2.470 8.155
1.858 7.168 11.575
2.012 3.299 13.688
2.066 6.339 2.672
2.470 1.803 6.281
2.661 4.561 9.255
3.025 0.578 13.492
3.114 0.123 4.555
3.137 4.524 5.937
3.178 5.078 12.399
3.215 4.602 1.281
3.291 6.894 9.883
3.299 2.012 0.748
3.746 6.983 0.946
3.992 0.756 8.164
4.440 5.727 7.966
4.448 0.845 2.665
4.524 3.137 8.499
4.561 2.661 5.181
4.602 3.215 13.155
4.625 7.616 11.773
4.714 7.160 6.274
5.078 3.178 2.037
5.269 5.936 13.499
5.673 1.399 9.890
5.727 4.440 6.470
5.881 0.570 4.357
5.936 5.269 0.937
6.339 2.066 11.764
6.530 7.047 8.790
6.894 3.291 4.553
6.983 3.746 13.490
7.006 7.085 12.108
7.047 6.530 5.646
7.085 7.006 2.328
7.160 4.714 8.162
7.168 1.858 2.861
7.616 4.625 2.663
0.949 6.129 14.288
1.610 6.790 7.366
2.259 2.920 3.461
2.920 2.259 10.975
4.819 5.479 3.757
5.479 4.819 10.679
6.129 0.949 0.148
6.790 1.610 7.070

KReSeBr2 (SCAN, PBEsol geometry); raw formation energy = -0.33 eV per atom; magnetization = 1.2 μB/f.u.; electronic total energy = -28.01 eV/atom; ρ = 5.80 g/cm3
1.0
5.329 0.000 0.000
0.000 5.329 0.000
0.000 0.000 4.683
K Re Se Br
1 1 1 2
Cartesian
0.000 0.000 0.000
2.664 2.664 2.341
2.664 2.664 0.000
0.000 2.664 2.341
2.664 0.000 2.341

Mn2NiO4 (SCAN, PBEsol geometry); raw formation energy = -1.78 eV per atom; magnetization = 6.0 μB/f.u.; electronic total energy = -12.86 eV/atom; ρ = 5.82 g/cm3
1.0
-2.861 2.864 4.050
2.861 -2.864 4.050
2.861 2.864 -4.050
Mn Ni O
4 2 8
Cartesian
0.000 0.000 0.000
-1.430 1.432 2.025
0.000 2.864 0.000
1.430 1.432 2.025
2.861 1.432 -1.016
0.000 1.432 5.066
0.000 0.130 1.932
1.302 1.432 0.092
1.559 -1.432 4.142
2.861 0.130 2.118
0.000 2.734 1.932
1.302 4.296 -0.092
1.559 1.432 3.958
2.861 2.734 2.118

Sr2WSe (SCAN, PBEsol geometry); raw formation energy = 0.25 eV per atom; magnetization = 0.6 μB/f.u.; electronic total energy = -33.33 eV/atom; ρ = 6.81 g/cm3
1.0
3.415 0.000 0.000
0.000 3.415 0.000
0.000 0.000 9.157
Sr W Se
2 1 1
Cartesian
0.000 0.000 0.000
1.707 1.707 3.604
0.000 0.000 5.927
1.707 1.707 6.959

La2Mn17C2 (SCAN, PBEsol geometry); magnetization = 3.0 μB/f.u.; electronic total energy = -19.90 eV/atom; ρ = 8.04 g/cm3; formation energy from the elements = -0.058 eV/atom
1.0
4.712 -4.307 0.000
4.712 4.307 0.000
-0.929 0.000 6.291
La Mn C
2 17 2
Cartesian
0.981 0.000 2.129
7.514 0.000 4.162
2.356 2.154 0.000
0.671 0.000 5.481
3.423 2.002 2.115
2.698 1.164 4.532
4.712 2.255 0.000
5.072 2.002 4.176
3.735 0.000 0.593
2.698 -1.164 4.532
2.356 -2.154 0.000
4.247 0.000 3.145
5.796 1.164 1.759
4.759 0.000 5.697
3.423 -2.002 2.115
4.712 -2.255 0.000
5.796 -1.164 1.759
5.072 -2.002 4.176
7.823 0.000 0.810
1.891 2.154 3.145
1.891 -2.154 3.145

GdCoSi (SCAN, PBEsol geometry); raw formation energy = -0.67 eV per atom; magnetization = 7.4 μB/f.u.; electronic total energy = -29.38 eV/atom; ρ = 7.94 g/cm3
1.0
3.901 0.000 0.000
0.000 3.901 0.000
0.000 0.000 6.710
Gd Co Si
2 2 2
Cartesian
0.975 0.975 1.185
2.926 2.926 5.525
0.975 2.926 3.355
2.926 0.975 3.355
0.975 0.975 4.589
2.926 2.926 2.122